Record 1
A geometry-optimized Tm2ScSn structure, computed with GGA-PBE. Values from VASP.

```
&SYSTEM
  ibrav = 0, nat = 8, ntyp = 3
/
ATOMIC_SPECIES
Tm 168.93 Tm.upf
Sc 44.96 Sc.upf
Sn 118.71 Sn.upf
CELL_PARAMETERS angstrom
1.6659 -12.4557 0.0000
1.6659 12.4557 0.0000
0.0000 0.0000 5.4516
ATOMIC_POSITIONS crystal
Tm 0.0308 0.9692 0.7500
Tm 0.2281 0.7719 0.2500
Tm 0.7719 0.2281 0.7500
Tm 0.9692 0.0308 0.2500
Sc 0.0979 0.9021 0.2500
Sc 0.9021 0.0979 0.7500
Sn 0.1577 0.8423 0.7500
Sn 0.8423 0.1577 0.2500
```

Values from the calculation:
ρ = 7.4 g/cm3
Formation energy from the elements = 72 meV per atom
Energy above the most stable polymorph in this dataset = 0.4632 eV per atom

=====

Record 2
A geometry-optimized TmScSn structure, computed with GGA-PBE. Values from VASP.

```
&SYSTEM
  ibrav = 0, nat = 3, ntyp = 3
/
ATOMIC_SPECIES
Tm 168.93 Tm.upf
Sc 44.96 Sc.upf
Sn 118.71 Sn.upf
CELL_PARAMETERS angstrom
4.9788 0.0000 0.0000
-2.4894 4.3118 0.0000
0.0000 0.0000 3.5792
ATOMIC_POSITIONS crystal
Tm 0.0000 0.0000 0.0000
Sc 0.6667 0.3333 0.5406
Sn 0.3333 0.6667 0.3729
```

Values from the calculation:
ρ = 7.2 g/cm3
Formation energy from the elements = -368 meV per atom